Entry from Alexandria: a relaxed Sr4Cd5 crystal (GGA-PBE).

POSCAR file:
```
Sr4Cd5
1.0
10.056 0.000 0.000
-5.028 8.709 0.000
0.000 0.000 6.934
Sr Cd
8 10
Direct
0.000 0.000 0.000
0.000 0.000 0.500
0.000 0.369 0.250
0.000 0.631 0.750
0.369 0.000 0.250
0.369 0.369 0.750
0.631 0.000 0.750
0.631 0.631 0.250
0.000 0.299 0.750
0.000 0.701 0.250
0.299 0.000 0.750
0.299 0.299 0.250
0.333 0.667 0.000
0.333 0.667 0.500
0.667 0.333 0.000
0.667 0.333 0.500
0.701 0.000 0.250
0.701 0.701 0.750
```

The value obtained for the formation energy is -0.212 eV/atom. Its calculated density is 5.0 g/cm3. The calculation puts the size of the total moment at 0.00 Bohr magnetons per cell. The total energy is -1.47 eV per atom. As for the calculated volume: 607.2 Å³ per cell.